VASP calculation (PBE) on a geometry-optimized NbCdAs structure.

abc: 4.613 4.613 4.613
angles: 60.00 60.00 60.00
Sites, in units of the cell vectors:
Nb (0.000, 0.000, 0.000)
Cd (0.750, 0.750, 0.750)
As (0.500, 0.500, 0.500)

Summary:
Uncorrected energy   -12.8 eV/f.u.
Total magnetization   2.3 μB per cell
Energy above the lowest structure with this stoichiometry   541 meV/atom
SG   F-43m, No. 216